Record 1
# PaAsC GGA-PBE relaxed
data_PaAsC
_chemical_formula_sum 'Pa2 As2 C2'
_cell_length_a 3.1783
_cell_length_b 3.1783
_cell_length_c 11.0649
_cell_angle_alpha 90.00
_cell_angle_beta 90.00
_cell_angle_gamma 90.00
_symmetry_space_group_name_H-M 'I 4 m m'
_symmetry_Int_Tables_number 107
_symmetry_space_group_name_Hall 'I 4 -2'
loop_
_atom_site_label
_atom_site_type_symbol
_atom_site_fract_x
_atom_site_fract_y
_atom_site_fract_z
Pa1 Pa 0.0000 0.0000 0.0000
As1 As 0.0000 0.0000 0.2793
C1 C 0.0000 0.0000 0.5651
# Formation energy (eV per atom): 0.170
# Excess energy over the best structure of this formula in the dataset (meV per atom): 593


Record 2
# Pa3AsC GGA-PBE relaxed
data_Pa3AsC
_chemical_formula_sum 'Pa24 As8 C8'
_cell_length_a 10.7832
_cell_length_b 12.8710
_cell_length_c 5.8813
_cell_angle_alpha 90.00
_cell_angle_beta 92.10
_cell_angle_gamma 90.00
_symmetry_space_group_name_H-M 'C 1 2/c 1'
_symmetry_Int_Tables_number 15
loop_
_symmetry_equiv_pos_as_xyz
'x,y,z'
'-x,-y,-z'
'-x,y,-z+1/2'
'x,-y,z+1/2'
'x+1/2,y+1/2,z'
'-x+1/2,-y+1/2,-z'
'-x+1/2,y+1/2,-z+1/2'
'x+1/2,-y+1/2,z+1/2'
loop_
_atom_site_label
_atom_site_type_symbol
_atom_site_fract_x
_atom_site_fract_y
_atom_site_fract_z
Pa1 Pa 0.1233 0.1551 0.0531
Pa2 Pa 0.1258 0.3028 0.5991
Pa3 Pa 0.1421 0.4303 0.1005
As1 As 0.1458 0.0774 0.5419
C1 C 0.0000 0.2882 0.2500
C2 C 0.0000 0.4434 0.7500
# Formation energy (eV per atom): -0.484


Record 3
# PaAsC GGA-PBE relaxed
data_PaAsC
_chemical_formula_sum 'Pa4 As4 C4'
_cell_length_a 3.6452
_cell_length_b 3.6452
_cell_length_c 18.9877
_cell_angle_alpha 90.00
_cell_angle_beta 90.00
_cell_angle_gamma 90.00
_symmetry_space_group_name_H-M 'I 4/m m m'
_symmetry_Int_Tables_number 139
_symmetry_space_group_name_Hall '-I 4 2'
loop_
_atom_site_label
_atom_site_type_symbol
_atom_site_fract_x
_atom_site_fract_y
_atom_site_fract_z
Pa1 Pa 0.0000 0.0000 0.1799
As1 As 0.0000 0.0000 0.4042
C1 C 0.0000 0.0000 0.3002
# Formation energy (eV per atom): -0.423
# Excess energy over the best structure of this formula in the dataset (meV per atom): 0


Record 4
# PaAsRu2C GGA-PBE relaxed
data_PaAsRu2C
_chemical_formula_sum 'Pa4 As4 Ru8 C4'
_cell_length_a 3.8664
_cell_length_b 11.4948
_cell_length_c 7.1241
_cell_angle_alpha 90.00
_cell_angle_beta 90.00
_cell_angle_gamma 90.00
_symmetry_space_group_name_H-M 'C m c m'
_symmetry_Int_Tables_number 63
_symmetry_space_group_name_Hall '-C 2c 2'
loop_
_atom_site_label
_atom_site_type_symbol
_atom_site_fract_x
_atom_site_fract_y
_atom_site_fract_z
Pa1 Pa 0.0000 0.0507 0.2500
As1 As 0.0000 0.2273 0.7500
Ru1 Ru 0.0000 0.3387 0.0481
C1 C 0.0000 0.5000 0.0000
# Formation energy (eV per atom): -0.414


Record 5
# Pa2AsRu6C GGA-PBE relaxed
data_Pa2AsRu6C
_chemical_formula_sum 'Pa2 As1 Ru6 C1'
_cell_length_a 4.4168
_cell_length_b 4.4168
_cell_length_c 8.5730
_cell_angle_alpha 90.00
_cell_angle_beta 90.00
_cell_angle_gamma 90.00
_symmetry_space_group_name_H-M 'P 4/m m m'
_symmetry_Int_Tables_number 123
_symmetry_space_group_name_Hall '-P 4 2'
loop_
_atom_site_label
_atom_site_type_symbol
_atom_site_fract_x
_atom_site_fract_y
_atom_site_fract_z
Pa1 Pa 0.0000 0.0000 0.2380
As1 As 0.5000 0.5000 0.5000
Ru1 Ru 0.0000 0.5000 0.0000
Ru2 Ru 0.0000 0.5000 0.5000
Ru3 Ru 0.5000 0.5000 0.2239
C1 C 0.5000 0.5000 0.0000
# Formation energy (eV per atom): -0.043


Record 6
# Pa4AsCS2 GGA-PBE relaxed
data_Pa4AsCS2
_chemical_formula_sum 'Pa16 As4 C4 S8'
_cell_length_a 3.8018
_cell_length_b 12.7113
_cell_length_c 14.1594
_cell_angle_alpha 90.00
_cell_angle_beta 90.00
_cell_angle_gamma 90.00
_symmetry_space_group_name_H-M 'C m c m'
_symmetry_Int_Tables_number 63
_symmetry_space_group_name_Hall '-C 2c 2'
loop_
_atom_site_label
_atom_site_type_symbol
_atom_site_fract_x
_atom_site_fract_y
_atom_site_fract_z
Pa1 Pa 0.0000 0.0000 0.0000
Pa2 Pa 0.0000 0.2877 0.1198
Pa3 Pa 0.0000 0.4207 0.7500
As1 As 0.0000 0.0943 0.7500
C1 C 0.0000 0.1864 0.2500
S1 S 0.0000 0.3597 0.5654
# E (eV/atom): -8.527


Number 1: volume 111.78 Å³ per cell. Number 2: volume 815.71 Å³ per cell. Number 3: volume 252.30 Å³ per cell. Number 4: volume 316.62 Å³ per cell. Number 5: volume 167.24 Å³ per cell. Number 6: volume 684.26 Å³ per cell.